[1]
! PBE Tb5SiSb2, optimized geometry; values from VASP
&SYSTEM
  ibrav = 0, nat = 16, ntyp = 3
/
ATOMIC_SPECIES
Tb 158.93 Tb.upf
Sb 121.76 Sb.upf
Si 28.09 Si.upf
CELL_PARAMETERS angstrom
5.9837 0.0000 0.0000
-2.9918 6.3682 0.0000
0.0000 0.0000 13.8938
ATOMIC_POSITIONS crystal
Tb 0.9421 0.8842 0.8808
Sb 0.1760 0.3520 0.9296
Tb 0.3104 0.6207 0.7500
Sb 0.8240 0.6480 0.0704
Tb 0.9421 0.8842 0.6192
Tb 0.6399 0.2797 0.9179
Si 0.7760 0.5520 0.7500
Tb 0.6896 0.3793 0.2500
Tb 0.0579 0.1158 0.3808
Si 0.2240 0.4480 0.2500
Tb 0.3601 0.7203 0.0821
Tb 0.3601 0.7203 0.4179
Sb 0.8240 0.6480 0.4296
Tb 0.6399 0.2797 0.5821
Tb 0.0579 0.1158 0.1192
Sb 0.1760 0.3520 0.5704
! Calculated total energy, eV per cell: -81.1

***

[2]
! PBE Tb5Si2Sb2, optimized geometry; values from VASP
&SYSTEM
  ibrav = 0, nat = 18, ntyp = 3
/
ATOMIC_SPECIES
Tb 158.93 Tb.upf
Si 28.09 Si.upf
Sb 121.76 Sb.upf
CELL_PARAMETERS angstrom
8.5573 0.0050 0.0000
-4.9426 6.9855 0.0000
0.0000 0.0000 7.8963
ATOMIC_POSITIONS crystal
Tb 0.5426 0.7960 0.1688
Si 0.1267 0.1267 0.6261
Sb 0.7937 0.2063 0.0000
Si 0.3733 0.3733 0.1261
Sb 0.7063 0.2937 0.5000
Tb 0.5000 0.5000 0.5000
Sb 0.2937 0.7063 0.5000
Tb 0.7040 0.9574 0.6688
Tb 0.9574 0.7040 0.6688
Tb 0.2960 0.0426 0.3312
Tb 0.4574 0.2040 0.8312
Tb 0.7960 0.5426 0.1688
Sb 0.2063 0.7937 0.0000
Tb 0.0426 0.2960 0.3312
Si 0.8733 0.8733 0.3739
Tb 0.2040 0.4574 0.8312
Si 0.6267 0.6267 0.8739
Tb 0.0000 0.0000 0.0000
! Calculated total energy, eV per cell: -101.1

***

[3]
! PBE Tb6Si2SbTe3, optimized geometry; values from VASP
&SYSTEM
  ibrav = 0, nat = 12, ntyp = 4
/
ATOMIC_SPECIES
Tb 158.93 Tb.upf
Si 28.09 Si.upf
Te 127.60 Te.upf
Sb 121.76 Sb.upf
CELL_PARAMETERS angstrom
-4.0360 -1.4420 0.0780
2.8567 -8.0801 -1.5620
1.9796 1.3379 9.3798
ATOMIC_POSITIONS crystal
Tb 0.6741 0.5672 0.3482
Tb 0.3321 0.8894 0.6642
Tb 0.9885 0.7487 0.9769
Si 0.1680 0.3358 0.3360
Tb 0.0115 0.2513 0.0231
Si 0.8320 0.6642 0.6640
Te 0.8369 0.1660 0.6738
Tb 0.3259 0.4328 0.6518
Te 0.1631 0.8340 0.3262
Te 0.5000 0.5000 0.0000
Sb 0.5000 0.0000 0.0000
Tb 0.6679 0.1106 0.3358
! Calculated total energy, eV per cell: -66.4

***

[4]
! PBE Tb4SiSbTe2, optimized geometry; values from VASP
&SYSTEM
  ibrav = 0, nat = 8, ntyp = 4
/
ATOMIC_SPECIES
Tb 158.93 Tb.upf
Te 127.60 Te.upf
Si 28.09 Si.upf
Sb 121.76 Sb.upf
CELL_PARAMETERS angstrom
4.3124 0.0000 0.0000
0.0000 7.5494 -0.1770
0.0000 2.6309 7.0394
ATOMIC_POSITIONS crystal
Tb 0.0000 0.7301 0.7416
Te 0.0000 0.0000 0.0000
Si 0.0000 0.5000 0.5000
Tb 0.0000 0.2699 0.2584
Tb 0.5000 0.7238 0.2713
Sb 0.5000 0.5000 0.0000
Te 0.5000 0.0000 0.5000
Tb 0.5000 0.2762 0.7287
! Calculated total energy, eV per cell: -44.0